Sm3Dy4Hg4 | PBE-GGA | optimized geometry

As for the total DFT energy (no corrections): -3.336 eV/atom. As for the spin magnetization: 0.00 μB per formula unit. The energy of formation comes out at -0.266 eV/atom. The density comes out at 9.84 g/cm3.

The structure belongs to space group Immm (No. 71); the cell edges are 4.981, 7.826 and 16.489 Å and the angles 90.00°, 90.00° and 90.00°. The distinct sites, in fractional coordinates, are Sm at (0.000, 0.000, 0.000), Sm at (0.000, 0.500, 0.109), Dy at (0.000, 0.284, 0.326), Hg at (0.000, 0.000, 0.207) and Hg at (0.000, 0.194, 0.500).